Record 1
LaSmErN3 after structural relaxation, computed with PBE.

Results
ρ   8338 kg/m³
SG   No. 11
Formation energy (no corrections)   -1.406 eV per atom
Final energy   -95.2 eV for the cell shown

Unit cell a=3.591 b=6.137 c=9.208 alpha=101.85 beta=90.00 gamma=90.00
Sites, in units of the cell vectors:
N 0.250 0.967 0.843
N 0.750 0.033 0.157
N 0.250 0.458 0.826
N 0.750 0.542 0.174
N 0.250 0.761 0.484
N 0.750 0.239 0.516
La 0.250 0.352 0.303
La 0.750 0.648 0.697
Er 0.750 0.858 0.361
Er 0.250 0.142 0.639
Sm 0.250 0.770 0.046
Sm 0.750 0.230 0.954

***

Record 2
Ti3BAu after structural relaxation, computed with PBE.

Results
Energy above the most stable polymorph in this dataset   9.26 eV per formula unit
ρ   5207 kg/m³
SG   No. 221
Final energy   -26.1 eV for the cell shown
Energy relative to the elements   1499 meV/atom

Unit cell a=4.821 b=4.821 c=4.821 alpha=90.00 beta=90.00 gamma=90.00
Sites, in units of the cell vectors:
B 0.500 0.500 0.500
Ti 0.000 0.500 0.000
Ti 0.500 0.000 0.000
Ti 0.000 0.000 0.500
Au 0.000 0.000 0.000

***

Record 3
Th6Co3CN2 after structural relaxation, computed with PBE.

Results
ρ   11140 kg/m³
SG   No. 12
Formation energy (no corrections)   -0.540 eV per atom
Final energy   -98.2 eV for the cell shown

Unit cell a=3.736 b=7.612 c=9.026 alpha=106.83 beta=101.94 gamma=90.00
Sites, in units of the cell vectors:
Th 0.004 0.754 0.009
Th 0.322 0.399 0.643
Th 0.996 0.246 0.991
Th 0.651 0.110 0.301
Th 0.349 0.890 0.699
Th 0.678 0.601 0.357
Co 0.197 0.903 0.395
Co 0.803 0.097 0.605
Co 0.500 0.500 0.000
C 0.500 0.000 0.000
N 0.823 0.631 0.647
N 0.177 0.369 0.353

***

Record 4
La2HIrPb after structural relaxation, computed with PBE.

Results
ρ   10117 kg/m³
SG   No. 123
Final energy   -28.0 eV for the cell shown

Unit cell a=5.245 b=5.245 c=4.047 alpha=90.00 beta=90.00 gamma=90.00
Sites, in units of the cell vectors:
H 0.000 0.000 0.000
Ir 0.000 0.000 0.500
Pb 0.500 0.500 0.500
La 0.000 0.500 0.000
La 0.500 0.000 0.000

***

Record 5
PrZnAgGe after structural relaxation, computed with PBE.

Results
ρ   7593 kg/m³
SG   No. 216
Final energy   -14.7 eV for the cell shown
Energy relative to the elements   -300 meV/atom

Unit cell a=4.927 b=4.927 c=4.927 alpha=60.00 beta=60.00 gamma=60.00
Sites, in units of the cell vectors:
Ge 0.250 0.250 0.250
Zn 0.750 0.750 0.750
Pr 0.500 0.500 0.500
Ag 0.000 0.000 0.000

***

Record 6
Cr4Re5 after structural relaxation, computed with PBE.

Results
ρ   15278 kg/m³
SG   No. 139
Final energy   -99.4 eV for the cell shown
Energy relative to the elements   145 meV/atom

Unit cell a=6.576 b=6.576 c=6.576 alpha=93.03 beta=93.03 gamma=153.43
Sites, in units of the cell vectors:
Re 0.332 0.668 0.000
Re 0.000 0.000 0.000
Re 0.332 0.332 0.664
Re 0.668 0.332 0.000
Re 0.668 0.668 0.336
Cr 0.344 0.000 0.344
Cr 0.000 0.656 0.656
Cr 0.656 0.000 0.656
Cr 0.000 0.344 0.344

***

Record 7
Li2HPtRh after structural relaxation, computed with PBE.

Results
Energy above the most stable polymorph in this dataset   0.00 eV per formula unit
ρ   9383 kg/m³
SG   No. 123
Final energy   -22.3 eV for the cell shown

Unit cell a=3.924 b=3.924 c=3.597 alpha=90.00 beta=90.00 gamma=90.00
Sites, in units of the cell vectors:
Rh 0.000 0.000 0.500
Pt 0.500 0.500 0.500
Li 0.500 0.000 0.000
Li 0.000 0.500 0.000
H 0.000 0.000 0.000

***

Record 8
Er2ZnSiGe after structural relaxation, computed with PBE.

Results
ρ   8130 kg/m³
SG   No. 11
Formation energy (no corrections)   -0.576 eV per atom
Final energy   -46.6 eV for the cell shown

Unit cell a=4.053 b=7.543 c=7.214 alpha=111.98 beta=90.00 gamma=90.00
Sites, in units of the cell vectors:
Si 0.750 0.331 0.667
Si 0.250 0.669 0.333
Ge 0.250 0.887 0.909
Ge 0.750 0.113 0.091
Er 0.250 0.097 0.372
Er 0.750 0.903 0.628
Er 0.750 0.698 0.057
Er 0.250 0.302 0.943
Zn 0.250 0.540 0.647
Zn 0.750 0.460 0.353

***

ρ of number 8 (Er2ZnSiGe)?
8130 kg/m³

***

What is the ρ in the second record?
5207 kg/m³

***

Among the records above, which one has the highest ρ?
Cr4Re5

***

What is the ρ in the first record?
8338 kg/m³